Mg3ScPb3 (PBE, relaxed); E_tot = -3.213 eV/atom; SG = No. 65; crystal system = orthorhombic; ΔH_f (0 K) = -0.036 eV/atom
1.0
4.685 -5.173 0.000
4.685 5.173 0.000
0.000 0.000 7.760
Mg Sc Pb
6 2 6
Cartesian
1.691 0.000 3.880
1.752 0.000 0.000
4.685 2.607 0.000
4.685 -2.607 0.000
7.618 0.000 0.000
7.679 0.000 3.880
4.685 2.327 3.880
4.685 -2.327 3.880
2.343 2.586 1.935
2.343 2.586 5.824
2.343 -2.586 1.935
2.343 -2.586 5.824
4.685 0.000 1.818
4.685 0.000 5.941